Record 1
4
Lattice="-0.2099 2.2233 -2.2426 -1.0344 -0.7624 -2.8923 -7.9862 2.0799 0.5763" Properties=species:S:1:pos:R:3 comment="YBe2Cl (GGA-PBEsol, optimized geometry)" spacegroup=R-3m e_form_raw_ev_per_atom=0.361 rho_g_cm3=3.38 e_above_lowest_polymorph_ev_per_atom=0.281 pbc="T T T"
Y 0.0000 0.0000 0.0000
Be -2.6095 0.9487 -1.0484
Be -6.6210 2.5921 -3.5101
Cl -4.6152 1.7704 -2.2793

Record 2
8
Lattice="-0.5288 5.4929 -1.7027 1.0418 -1.5901 -5.4531 -6.7145 -2.8723 2.6127" Properties=species:S:1:pos:R:3 comment="Y2BeCl (GGA-PBEsol, optimized geometry)" spacegroup=I-42d e_form_raw_ev_per_atom=-0.134 rho_g_cm3=3.36 e_above_lowest_polymorph_ev_per_atom=0.530 pbc="T T T"
Y -1.7437 3.4190 -2.8590
Y -0.9724 0.0234 -4.7794
Y -4.7291 0.3061 -2.4405
Y -4.9579 -1.6875 0.9926
Be -3.4934 2.2860 -1.3340
Be 0.2565 1.9514 -3.5779
Cl -2.7081 -1.2555 -3.2092
Cl 0.0000 0.0000 0.0000

Record 3
4
Lattice="3.8033 0.0000 0.0000 1.9017 3.2938 0.0000 1.9017 1.0979 6.8102" Properties=species:S:1:pos:R:3 comment="Y2BeCl (GGA-PBEsol, optimized geometry)" spacegroup=R-3m e_form_raw_ev_per_atom=-0.664 rho_g_cm3=4.33 e_above_lowest_polymorph_ev_per_atom=0.000 pbc="T T T"
Y 5.7050 3.2938 5.0203
Y 1.9017 1.0979 1.7898
Be 3.8033 2.1959 3.4051
Cl 0.0000 0.0000 0.0000

Record 4
4
Lattice="3.3288 0.0000 0.0000 0.0000 5.0307 -0.0211 0.0000 -2.4499 4.3940" Properties=species:S:1:pos:R:3 comment="YBe2Cl (GGA-PBEsol, optimized geometry)" spacegroup=Cmmm e_form_raw_ev_per_atom=0.190 rho_g_cm3=3.22 e_above_lowest_polymorph_ev_per_atom=0.110 pbc="T T T"
Y 1.6644 1.2904 2.1864
Be 0.0000 2.5154 -0.0106
Be 0.0000 -1.2249 2.1970
Cl 1.6644 0.0000 0.0000